Entry from the Alexandria database: SiSb2W after structural relaxation (PBE-GGA).

Lattice parameters (Å, degrees): 5.2994 5.2994 5.2994 138.86 125.31 70.67
Last column: nearest neighbours and their distance in Å.
Element x y z (fractional)
1 Sb 0.0270 0.0270 0.0000  2 Si 2.68
2 Sb 0.4730 0.4730 0.0000  2 Si 2.68
3 Si 0.2500 0.7500 0.5000  4 Sb 2.68
4 W 0.7500 0.2500 0.5000  8 Sb 3.03-3.11, 4 Si 3.06

Summary:
V, Å³ per atom: 19.6
SG: Immm, No. 71
Total DFT energy (no corrections), eV per atom: -5.8788

Entry from the Alexandria database: SiSb2W after structural relaxation (PBE-GGA).

Lattice parameters (Å, degrees): 4.4040 3.7770 5.2298 68.90 90.00 90.00
Last column: nearest neighbours and their distance in Å.
Element x y z (fractional)
1 Sb 0.0000 0.9698 0.9356  3 Si 2.71-2.88
2 Sb 0.5000 0.2742 0.3259  3 W 2.79-2.82, 4 Si 3.01
3 Si 0.0000 0.6922 0.4904  2 W 2.54, 1 Sb 2.71
4 W 0.5000 0.5638 0.7481  2 Si 2.54, 3 Sb 2.79-2.82

Summary:
V, Å³ per atom: 20.3
SG: Amm2, No. 38
Total DFT energy (no corrections), eV per atom: -6.3064

Entry from the Alexandria database: SiSb2W after structural relaxation (PBE-GGA).

Lattice parameters (Å, degrees): 5.0043 5.0043 5.0422 83.42 83.42 40.02
Last column: nearest neighbours and their distance in Å.
Element x y z (fractional)
1 Sb 0.0246 0.0246 0.9856  1 Si 2.64, 2 W 2.87
2 Sb 0.4754 0.4754 0.5144  1 Si 2.64, 2 W 2.87
3 Si 0.2500 0.2500 0.2500  2 Sb 2.64
4 W 0.7500 0.7500 0.7500  6 Sb 2.87-2.97, 4 Si 3.05

Summary:
V, Å³ per atom: 20.1
SG: C2/m, No. 12
Total DFT energy (no corrections), eV per atom: -5.9649

Entry from the Alexandria database: SiSb2W after structural relaxation (PBE-GGA).

Lattice parameters (Å, degrees): 4.8196 4.8196 4.8196 60.00 60.00 60.00
Last column: nearest neighbours and their distance in Å.
Element x y z (fractional)
1 Sb 0.0000 0.0000 0.0000  4 Sb 2.95, 4 W 2.95
2 Sb 0.2500 0.2500 0.2500  4 Sb 2.95, 4 Si 2.95
3 Si 0.5000 0.5000 0.5000  4 W 2.95, 4 Sb 2.95
4 W 0.7500 0.7500 0.7500  4 Sb 2.95, 4 Si 2.95

Summary:
V, Å³ per atom: 19.8
SG: F-43m, No. 216
Total DFT energy (no corrections), eV per atom: -5.7841

Entry from the Alexandria database: SiSb2W after structural relaxation (PBE-GGA).

Lattice parameters (Å, degrees): 4.8607 4.8607 3.3502 90.00 90.00 90.00
Last column: nearest neighbours and their distance in Å.
Element x y z (fractional)
1 Sb 0.0000 0.0000 0.0000  4 W 2.95, 4 Si 2.95
2 Sb 0.5000 0.5000 0.0000  4 W 2.95, 4 Si 2.95
3 Si 0.5000 0.0000 0.5000  8 Sb 2.95
4 W 0.0000 0.5000 0.5000  8 Sb 2.95

Summary:
V, Å³ per atom: 19.8
SG: P4/mmm, No. 123
Total DFT energy (no corrections), eV per atom: -5.8132

Entry from the Alexandria database: SiSb2W after structural relaxation (PBE-GGA).

Lattice parameters (Å, degrees): 7.6756 7.6756 7.6756 153.06 152.81 38.64
Last column: nearest neighbours and their distance in Å.
Element x y z (fractional)
1 Sb 0.9963 0.9963 0.0000  4 Si 2.69
2 Sb 0.2700 0.7700 0.5000  4 W 2.88
3 Si 0.5576 0.5576 0.0000  2 W 2.48, 4 Sb 2.69
4 W 0.6761 0.1761 0.5000  2 Si 2.48

Summary:
V, Å³ per atom: 23.4
SG: Imm2, No. 44
Total DFT energy (no corrections), eV per atom: -6.1898

Entry from the Alexandria database: YSiSb2 after structural relaxation (PBE-GGA).

Lattice parameters (Å, degrees): 3.4356 3.4356 8.9962 90.00 90.00 102.74
Last column: nearest neighbours and their distance in Å.
Element x y z (fractional)
1 Sb 0.0000 0.0000 0.9694  2 Y 3.17, 4 Sb 3.44
2 Sb 0.5000 0.5000 0.3175  2 Si 2.71
3 Si 0.0000 0.0000 0.5025  2 Sb 2.71, 2 Y 2.85
4 Y 0.5000 0.5000 0.7105  2 Si 2.85, 2 Sb 3.17

Summary:
V, Å³ per atom: 25.9
SG: Cmm2, No. 35
Total DFT energy (no corrections), eV per atom: -5.1803

Entry from the Alexandria database: YSiSb2 after structural relaxation (PBE-GGA).

Lattice parameters (Å, degrees): 6.0927 6.0927 6.0927 138.58 138.58 60.02
Last column: nearest neighbours and their distance in Å.
Element x y z (fractional)
1 Sb 0.0000 0.0000 0.0000  4 Si 3.05, 4 Sb 3.41, 4 Y 3.41
2 Sb 0.2500 0.7500 0.5000  4 Y 3.05, 4 Sb 3.41, 4 Si 3.41
3 Si 0.5000 0.5000 0.0000  8 Sb 3.05-3.41, 4 Y 3.41
4 Y 0.7500 0.2500 0.5000  8 Sb 3.05-3.41, 4 Si 3.41

Summary:
V, Å³ per atom: 24.5
SG: I-4m2, No. 119
Total DFT energy (no corrections), eV per atom: -5.2960

Entry from the Alexandria database: Y2SiSb after structural relaxation (PBE-GGA).

Lattice parameters (Å, degrees): 6.1088 6.1088 6.1088 138.78 138.79 59.70
Last column: nearest neighbours and their distance in Å.
Element x y z (fractional)
1 Sb 0.5000 0.5000 0.0000  4 Y 3.04
2 Si 0.7499 0.2499 0.5000  4 Y 3.04
3 Y 0.0000 0.0000 0.0000  4 Sb 3.04
4 Y 0.2500 0.7500 0.5000  4 Si 3.04

Summary:
V, Å³ per atom: 24.5
Distance to the lowest polymorph of the same formula, meV per atom: 123
SG: I-4m2, No. 119

Entry from the Alexandria database: YSiSb2 after structural relaxation (PBE-GGA).

Lattice parameters (Å, degrees): 7.8503 7.8503 7.8503 29.78 29.78 29.78
Last column: nearest neighbours and their distance in Å.
Element x y z (fractional)
1 Sb 0.0103 0.0103 0.0103  3 Si 2.85, 3 Y 3.14
2 Sb 0.4897 0.4897 0.4897  3 Si 2.85, 3 Y 3.14
3 Si 0.7500 0.7500 0.7500  6 Sb 2.85
4 Y 0.2500 0.2500 0.2500  6 Sb 3.14

Summary:
V, Å³ per atom: 26.4
SG: R-3m, No. 166
Total DFT energy (no corrections), eV per atom: -5.2467

Entry from the Alexandria database: Y2SiSb after structural relaxation (PBE-GGA).

Lattice parameters (Å, degrees): 4.2629 4.2796 6.0214 90.00 90.00 90.00
Last column: nearest neighbours and their distance in Å.
Element x y z (fractional)
1 Sb 0.0000 0.0000 0.3751  6 Y 3.01-3.02
2 Si 0.5000 0.5000 0.8748  6 Y 3.01-3.02
3 Y 0.0000 0.0000 0.8751  2 Sb 3.01, 4 Si 3.02
4 Y 0.5000 0.5000 0.3750  2 Si 3.01, 4 Sb 3.02

Summary:
V, Å³ per atom: 27.5
Distance to the lowest polymorph of the same formula, meV per atom: 52
SG: Pmmm, No. 47

Entry from the Alexandria database: YSi4Sb after structural relaxation (PBE-GGA).

Lattice parameters (Å, degrees): 5.3551 5.3551 5.3551 60.00 60.00 60.00
Last column: nearest neighbours and their distance in Å.
Element x y z (fractional)
1 Y 0.2500 0.2500 0.2500  12 Si 3.14, 4 Sb 3.28
2 Si 0.6260 0.1220 0.6260  6 Si 2.66-2.70
3 Si 0.1220 0.6260 0.6260  6 Si 2.66-2.70
4 Si 0.6260 0.6260 0.6260  6 Si 2.66-2.70
5 Si 0.6260 0.6260 0.1220  6 Si 2.66-2.70
6 Sb 0.0000 0.0000 0.0000  12 Si 3.14, 4 Y 3.28

Summary:
V, Å³ per atom: 18.1
SG: F-43m, No. 216
Total DFT energy (no corrections), eV per atom: -5.3946

Number 1: size of the total moment 0.000 μB per atom, theoretical density 9648 kg/m³. Number 2: size of the total moment 0.000 μB per atom, theoretical density 9318 kg/m³. Number 3: size of the total moment 0.000 μB per atom, theoretical density 9384 kg/m³. Number 4: size of the total moment 0.001 μB per atom, theoretical density 9554 kg/m³. Number 5: size of the total moment 0.000 μB per atom, theoretical density 9555 kg/m³. Number 6: size of the total moment 0.000 μB per atom, theoretical density 8094 kg/m³. Number 7: size of the total moment 0.000 μB per atom, theoretical density 5780 kg/m³. Number 8: size of the total moment 0.000 μB per atom, theoretical density 6110 kg/m³. Number 9: size of the total moment 0.000 μB per atom, theoretical density 5554 kg/m³. Number 10: size of the total moment 0.000 μB per atom, theoretical density 5665 kg/m³. Number 11: size of the total moment 0.000 μB per atom, theoretical density 4953 kg/m³. Number 12: size of the total moment 0.000 μB per atom, theoretical density 4939 kg/m³.